A plane-wave DFT calculation with PBE was carried out for a relaxed structure of Rb2Li2IrO6.

Cell lengths 5.399, 5.399, 6.774 Å; angles 99.99, 99.99, 117.66 degrees
Site moments in Bohr magnetons follow the coordinates.
Atoms (fractional coordinates):
Rb  0.826  0.174  0.000  0.00
Rb  0.174  0.826  0.000  0.00
Li  0.338  0.662  0.500  0.01
Li  0.662  0.338  0.500  0.01
Ir  0.000  0.000  0.500  0.41
O  0.770  0.770  0.655  0.04
O  0.053  0.348  0.673  0.05
O  0.230  0.230  0.345  0.04
O  0.348  0.053  0.673  0.05
O  0.947  0.652  0.327  0.05
O  0.652  0.947  0.327  0.05

Results
The space-group type is C2/m. Its formation energy without anion corrections is -1.15 eV/atom. As for the raw total energy: -57.00 eV per cell. The calculation puts the calculated volume at 14.98 Å³ per atom.

---

A plane-wave DFT calculation with PBE was carried out for a relaxed structure of Cu3Pt2.

Cell lengths 2.719, 10.913, 4.665 Å; angles 81.55, 90.00, 90.00 degrees
Atoms (fractional coordinates):
Cu  0.000  0.011  0.998
Cu  0.500  0.207  0.092
Cu  0.000  0.393  0.208
Cu  0.500  0.589  0.302
Cu  0.000  0.208  0.601
Cu  0.500  0.392  0.699
Pt  0.000  0.799  0.399
Pt  0.500  0.017  0.495
Pt  0.000  0.583  0.805
Pt  0.500  0.801  0.901

Results
The space-group type is P2_1/m. Its calculated formation energy is -0.08 eV/atom. For the energy above the most stable polymorph in this dataset, the calculation gives 0.38 eV/f.u. As for the raw total energy: -49.58 eV per cell. The calculation puts the calculated volume at 13.69 Å³ per atom.

---

A plane-wave DFT calculation with PBE was carried out for a relaxed structure of Sr2MnSe.

Cell lengths 8.475, 8.475, 7.221 Å; angles 54.07, 54.07, 90.00 degrees
Site moments in Bohr magnetons follow the coordinates.
Atoms (fractional coordinates):
Sr  0.656  0.125  0.250  0.01
Sr  0.094  0.625  0.250  0.01
Sr  0.375  0.344  0.750  0.01
Sr  0.875  0.906  0.750  0.01
Mn  0.500  0.500  0.000  4.20
Mn  0.250  0.750  0.500  4.21
Se  0.000  0.000  0.000  0.03
Se  0.750  0.250  0.500  0.03

Results
The space-group type is I-42d. Its formation energy without anion corrections is -0.26 eV/atom. As for the raw total energy: -34.11 eV per cell. The calculation puts the calculated volume at 36.17 Å³ per atom.

---

A plane-wave DFT calculation with PBE was carried out for a relaxed structure of Pr2CoH.

Cell lengths 3.320, 3.320, 7.105 Å; angles 90.00, 90.00, 90.00 degrees
Atoms (fractional coordinates):
Pr  0.000  0.000  0.748
Pr  0.000  0.000  0.252
H  0.500  0.500  0.000
Co  0.500  0.500  0.500

Results
The space-group type is P4/mmm. For the energy above the most stable polymorph in this dataset, the calculation gives 0.65 eV/f.u. As for the raw total energy: -19.89 eV per cell. The calculation puts the calculated volume at 19.58 Å³ per atom.

---

A plane-wave DFT calculation with PBE was carried out for a relaxed structure of CoHIr2.

Cell lengths 3.992, 3.992, 3.992 Å; angles 60.00, 60.00, 60.00 degrees
Atoms (fractional coordinates):
H  0.000  0.000  0.000
Ir  0.250  0.250  0.250
Ir  0.750  0.750  0.750
Co  0.500  0.500  0.500

Results
The space-group type is Fm-3m. As for the raw total energy: -26.04 eV per cell. The calculation puts the calculated volume at 11.25 Å³ per atom.

---

A plane-wave DFT calculation with PBE was carried out for a relaxed structure of Li3Cu2Pd5.

Cell lengths 5.165, 8.160, 8.160 Å; angles 95.08, 71.55, 71.55 degrees
Atoms (fractional coordinates):
Li  0.259  0.569  0.912
Li  0.759  0.912  0.569
Li  0.741  0.431  0.088
Li  0.241  0.088  0.431
Li  0.250  0.000  0.000
Li  0.750  0.000  0.000
Cu  0.108  0.557  0.227
Cu  0.608  0.227  0.557
Cu  0.892  0.443  0.773
Cu  0.392  0.773  0.443
Pd  0.423  0.251  0.903
Pd  0.923  0.903  0.251
Pd  0.577  0.749  0.097
Pd  0.077  0.097  0.749
Pd  0.486  0.764  0.764
Pd  0.514  0.236  0.236
Pd  0.750  0.500  0.500
Pd  0.250  0.500  0.500
Pd  0.014  0.236  0.236
Pd  0.986  0.764  0.764

Results
The space-group type is Ibam. Its calculated formation energy is -0.02 eV/atom. As for the raw total energy: -80.22 eV per cell. The calculation puts the calculated volume at 15.13 Å³ per atom.